[1]
Here is TbGdAl4Pt2 after structural relaxation from OQMD. Energies are from GGA-PBE.

Unit cell a=6.9478 b=5.6217 c=5.6217 alpha=44.67 beta=90.00 gamma=90.00
Element x y z (fractional)
Tb (0.0000, 0.0000, 0.0000)
Gd (0.5000, 0.8608, 0.8608)
Al (0.1960, 0.2841, 0.2841)
Al (0.3035, 0.5765, 0.5765)
Al (0.6965, 0.5765, 0.5765)
Al (0.8040, 0.2841, 0.2841)
Pt (0.0000, 0.7188, 0.7188)
Pt (0.5000, 0.1423, 0.1423)

Properties
Space group   Amm2, No. 38
Total moment   0.02 μB/f.u.
E   -44.3 eV for the cell shown


[2]
Here is GdTmAl2Pt4 after structural relaxation from OQMD. Energies are from GGA-PBE.

Unit cell a=4.3379 b=4.3379 c=9.2408 alpha=90.00 beta=90.00 gamma=120.00
Element x y z (fractional)
Gd (0.0000, 0.0000, 0.0000)
Tm (0.3333, 0.6667, 0.5000)
Al (0.6667, 0.3333, 0.2523)
Al (0.6667, 0.3333, 0.7477)
Pt (0.0000, 0.0000, 0.3385)
Pt (0.0000, 0.0000, 0.6615)
Pt (0.3333, 0.6667, 0.1714)
Pt (0.3333, 0.6667, 0.8286)

Properties
Space group   P-6m2, No. 187
Total moment   0.00 μB/f.u.
E   -50.4 eV for the cell shown


[3]
Here is GdYAl4Pt2 after structural relaxation from OQMD. Energies are from GGA-PBE.

Unit cell a=6.9347 b=5.6157 c=5.6157 alpha=44.75 beta=90.00 gamma=90.00
Element x y z (fractional)
Gd (0.0000, 0.0000, 0.0000)
Y (0.5000, 0.1414, 0.1414)
Al (0.1969, 0.7159, 0.7159)
Al (0.3041, 0.4250, 0.4250)
Al (0.6959, 0.4250, 0.4250)
Al (0.8031, 0.7159, 0.7159)
Pt (0.0000, 0.2821, 0.2821)
Pt (0.5000, 0.8596, 0.8596)

Properties
Space group   Amm2, No. 38
Total moment   0.00 μB/f.u.
E   -46.2 eV for the cell shown


[4]
Here is RbGdAlSe3 after structural relaxation from OQMD. Energies are from GGA-PBE.

Unit cell a=7.9312 b=7.9312 c=11.1388 alpha=90.00 beta=90.00 gamma=148.25
Element x y z (fractional)
Rb (0.2416, 0.7584, 0.7500)
Rb (0.7584, 0.2416, 0.2500)
Gd (0.5000, 0.5000, 0.0000)
Gd (0.5000, 0.5000, 0.5000)
Al (0.0298, 0.9702, 0.2500)
Al (0.9702, 0.0298, 0.7500)
Se (0.1232, 0.8768, 0.0720)
Se (0.1232, 0.8768, 0.4280)
Se (0.4452, 0.5548, 0.2500)
Se (0.5548, 0.4452, 0.7500)
Se (0.8768, 0.1232, 0.5720)
Se (0.8768, 0.1232, 0.9280)

Properties
Space group   Cmcm, No. 63
Total moment   0.43 μB/f.u.
E   -54.9 eV for the cell shown


[5]
Here is GdAlRe after structural relaxation from OQMD. Energies are from GGA-PBE.

Unit cell a=4.5590 b=4.5590 c=4.5590 alpha=60.00 beta=60.00 gamma=60.00
Element x y z (fractional)
Gd (0.0000, 0.0000, 0.0000)
Al (0.5000, 0.5000, 0.5000)
Re (0.7500, 0.7500, 0.7500)

Properties
Space group   F-43m, No. 216
Total moment   0.54 μB/f.u.
E   -19.4 eV for the cell shown
E above lowest polymorph   0.000 eV/atom


[6]
Here is Gd3Al5S12 after structural relaxation from OQMD. Energies are from GGA-PBE.

Unit cell a=12.9455 b=12.9455 c=12.9455 alpha=109.47 beta=109.47 gamma=109.47
Element x y z (fractional)
Gd (0.1250, 0.2500, 0.3750)
Gd (0.1250, 0.3750, 0.7500)
Gd (0.2500, 0.3750, 0.1250)
Gd (0.2500, 0.8750, 0.6250)
Gd (0.3750, 0.1250, 0.2500)
Gd (0.3750, 0.7500, 0.1250)
Gd (0.6250, 0.2500, 0.8750)
Gd (0.6250, 0.8750, 0.7500)
Gd (0.7500, 0.1250, 0.3750)
Gd (0.7500, 0.6250, 0.8750)
Gd (0.8750, 0.6250, 0.2500)
Gd (0.8750, 0.7500, 0.6250)
Al (0.0000, 0.0000, 0.0000)
Al (0.0000, 0.0000, 0.5000)
Al (0.0000, 0.5000, 0.0000)
Al (0.0000, 0.5000, 0.5000)
Al (0.1250, 0.7500, 0.8750)
Al (0.1250, 0.8750, 0.2500)
Al (0.2500, 0.1250, 0.8750)
Al (0.2500, 0.6250, 0.3750)
Al (0.3750, 0.2500, 0.6250)
Al (0.3750, 0.6250, 0.7500)
Al (0.5000, 0.0000, 0.0000)
Al (0.5000, 0.0000, 0.5000)
Al (0.5000, 0.5000, 0.0000)
Al (0.5000, 0.5000, 0.5000)
Al (0.6250, 0.3750, 0.2500)
Al (0.6250, 0.7500, 0.3750)
Al (0.7500, 0.3750, 0.6250)
Al (0.7500, 0.8750, 0.1250)
Al (0.8750, 0.1250, 0.7500)
Al (0.8750, 0.2500, 0.1250)
S (0.0288, 0.2060, 0.1205)
S (0.0288, 0.3227, 0.9083)
S (0.0856, 0.7060, 0.6773)
S (0.0856, 0.8795, 0.4083)
S (0.0917, 0.6205, 0.4144)
S (0.0917, 0.9712, 0.6773)
S (0.1205, 0.0288, 0.2060)
S (0.1205, 0.5917, 0.9144)
S (0.1773, 0.2060, 0.5856)
S (0.1773, 0.4712, 0.5917)
S (0.2060, 0.1205, 0.0288)
S (0.2060, 0.5856, 0.1773)
S (0.2940, 0.3227, 0.9144)
S (0.2940, 0.4712, 0.3795)
S (0.3227, 0.9083, 0.0288)
S (0.3227, 0.9144, 0.2940)
S (0.3795, 0.2940, 0.4712)
S (0.3795, 0.5856, 0.9083)
S (0.4083, 0.0856, 0.8795)
S (0.4083, 0.8227, 0.5288)
S (0.4144, 0.0917, 0.6205)
S (0.4144, 0.8227, 0.7940)
S (0.4712, 0.3795, 0.2940)
S (0.4712, 0.5917, 0.1773)
S (0.5288, 0.4083, 0.8227)
S (0.5288, 0.6205, 0.7060)
S (0.5856, 0.1773, 0.2060)
S (0.5856, 0.9083, 0.3795)
S (0.5917, 0.1773, 0.4712)
S (0.5917, 0.9144, 0.1205)
S (0.6205, 0.4144, 0.0917)
S (0.6205, 0.7060, 0.5288)
S (0.6773, 0.0856, 0.7060)
S (0.6773, 0.0917, 0.9712)
S (0.7060, 0.5288, 0.6205)
S (0.7060, 0.6773, 0.0856)
S (0.7940, 0.4144, 0.8227)
S (0.7940, 0.8795, 0.9712)
S (0.8227, 0.5288, 0.4083)
S (0.8227, 0.7940, 0.4144)
S (0.8795, 0.4083, 0.0856)
S (0.8795, 0.9712, 0.7940)
S (0.9083, 0.0288, 0.3227)
S (0.9083, 0.3795, 0.5856)
S (0.9144, 0.1205, 0.5917)
S (0.9144, 0.2940, 0.3227)
S (0.9712, 0.6773, 0.0917)
S (0.9712, 0.7940, 0.8795)

Properties
Space group   Ia-3d, No. 230
Total moment   0.00 μB/f.u.
E   -445.6 eV for the cell shown


[7]
Here is GdScAl3Si2 after structural relaxation from OQMD. Energies are from GGA-PBE.

Unit cell a=5.3818 b=5.3818 c=6.5327 alpha=99.56 beta=99.56 gamma=43.64
Element x y z (fractional)
Gd (0.0000, 0.0000, 0.0000)
Sc (0.7633, 0.7633, 0.3573)
Al (0.0778, 0.0778, 0.5376)
Al (0.3765, 0.3765, 0.6709)
Al (0.6869, 0.6869, 0.8051)
Si (0.2867, 0.2867, 0.0447)
Si (0.4758, 0.4758, 0.3203)

Properties
Space group   Cm, No. 8
Total moment   0.00 μB/f.u.
E   -36.7 eV for the cell shown


[8]
Here is TbGdAl3Si2 after structural relaxation from OQMD. Energies are from GGA-PBE.

Unit cell a=5.5106 b=5.5106 c=6.6422 alpha=100.48 beta=100.48 gamma=43.33
Element x y z (fractional)
Tb (0.0000, 0.0000, 0.0000)
Gd (0.7604, 0.7604, 0.3555)
Al (0.0748, 0.0748, 0.5447)
Al (0.3806, 0.3806, 0.6782)
Al (0.6855, 0.6855, 0.8116)
Si (0.2880, 0.2880, 0.0363)
Si (0.4725, 0.4725, 0.3184)

Properties
Space group   Cm, No. 8
Total moment   0.00 μB/f.u.
E   -35.2 eV for the cell shown


[9]
Here is SmGdAl2 after structural relaxation from OQMD. Energies are from GGA-PBE.

Unit cell a=4.2038 b=6.0902 c=6.0902 alpha=43.10 beta=90.00 gamma=90.00
Element x y z (fractional)
Sm (0.0000, 0.0000, 0.0000)
Gd (0.5000, 0.2811, 0.2811)
Al (0.0000, 0.7131, 0.7131)
Al (0.5000, 0.5705, 0.5705)

Properties
Space group   Amm2, No. 38
Total moment   0.06 μB/f.u.
E   -18.3 eV for the cell shown


[10]
Here is SmGdAl after structural relaxation from OQMD. Energies are from GGA-PBE.

Unit cell a=5.1075 b=5.1075 c=5.1075 alpha=60.00 beta=60.00 gamma=60.00
Element x y z (fractional)
Sm (0.0000, 0.0000, 0.0000)
Gd (0.2500, 0.2500, 0.2500)
Al (0.7500, 0.7500, 0.7500)

Properties
Space group   F-43m, No. 216
Total moment   0.02 μB/f.u.
E   -11.6 eV for the cell shown


[11]
Here is Sm2Gd2Al3 after structural relaxation from OQMD. Energies are from GGA-PBE.

Unit cell a=8.8318 b=8.8318 c=5.9108 alpha=95.90 beta=95.90 gamma=26.05
Element x y z (fractional)
Sm (0.0884, 0.0884, 0.3454)
Sm (0.9116, 0.9116, 0.6546)
Gd (0.3351, 0.3351, 0.1408)
Gd (0.6649, 0.6649, 0.8592)
Al (0.2700, 0.2700, 0.6374)
Al (0.5000, 0.5000, 0.0000)
Al (0.7300, 0.7300, 0.3626)

Properties
Space group   C2/m, No. 12
Total moment   0.01 μB/f.u.
E   -31.2 eV for the cell shown


[12]
Here is Gd2AlSn after structural relaxation from OQMD. Energies are from GGA-PBE.

Unit cell a=4.2167 b=6.0994 c=6.0994 alpha=43.61 beta=90.00 gamma=90.00
Element x y z (fractional)
Gd (0.0000, 0.0000, 0.0000)
Gd (0.5000, 0.2790, 0.2790)
Al (0.5000, 0.5550, 0.5550)
Sn (0.0000, 0.7161, 0.7161)

Properties
Space group   Amm2, No. 38
Total moment   0.03 μB/f.u.
E   -19.5 eV for the cell shown